Computed, not measured: a relaxed HoLuAu crystal at the PBE level of DFT.

## Properties
Raw total energy   -28.06 eV per cell
Relative energy among the computed polymorphs   0 meV per atom
M_tot   0.282 μB/atom

a b c (Å): 3.5426 3.5426 12.1720
angles (deg): 90.00 90.00 90.00
Space group I4mm (No. 107)
Unique sites:
Ho  0.0000  0.0000  0.0000 [2 per cell]
Lu  0.0000  0.0000  0.7090 [2 per cell]
Au  0.0000  0.0000  0.3476 [2 per cell]


Computed, not measured: a relaxed HoLu2Au crystal at the PBE level of DFT.

## Properties
Raw total energy   -18.54 eV per cell
Relative energy among the computed polymorphs   0 meV per atom
M_tot   0.000 μB/atom

a b c (Å): 3.5035 3.5035 8.6512
angles (deg): 90.00 90.00 90.00
Space group P4/mmm (No. 123)
Unique sites:
Ho  0.0000  0.0000  0.0000 [1 per cell]
Lu  0.5000  0.5000  0.2959 [2 per cell]
Au  0.0000  0.0000  0.5000 [1 per cell]


Computed, not measured: a relaxed HoLu2Au crystal at the PBE level of DFT.

## Properties
Raw total energy   -17.96 eV per cell
Relative energy among the computed polymorphs   146 meV per atom
M_tot   0.000 μB/atom

a b c (Å): 4.6390 4.6390 4.6577
angles (deg): 90.00 90.00 90.00
Space group P4/mmm (No. 123)
Unique sites:
Ho  0.0000  0.0000  0.0000 [1 per cell]
Lu  0.0000  0.5000  0.5000 [2 per cell]
Au  0.5000  0.5000  0.0000 [1 per cell]


Computed, not measured: a relaxed HoLuAu2 crystal at the PBE level of DFT.

## Properties
Raw total energy   -76.68 eV per cell
Relative energy among the computed polymorphs   4 meV per atom
M_tot   0.000 μB/atom

a b c (Å): 7.1159 7.1159 7.1159
angles (deg): 90.00 90.00 90.00
Space group Fm-3m (No. 225)
Unique sites:
Ho  0.0000  0.0000  0.0000 [4 per cell]
Lu  0.0000  0.0000  0.5000 [4 per cell]
Au  0.2500  0.2500  0.2500 [8 per cell]


Computed, not measured: a relaxed HoLuAu crystal at the PBE level of DFT.

## Properties
Raw total energy   -13.69 eV per cell
Relative energy among the computed polymorphs   112 meV per atom
M_tot   0.000 μB/atom

a b c (Å): 4.8585 4.8585 3.7510
angles (deg): 90.00 90.00 120.00
Space group P3m1 (No. 156)
Unique sites:
Ho  0.0000  0.0000  0.0000 [1 per cell]
Lu  0.3333  0.6667  0.5219 [1 per cell]
Au  0.6667  0.3333  0.2916 [1 per cell]


Computed, not measured: a relaxed HoLuAu2 crystal at the PBE level of DFT.

## Properties
Raw total energy   -19.19 eV per cell
Relative energy among the computed polymorphs   0 meV per atom
M_tot   0.000 μB/atom

a b c (Å): 3.5336 3.5336 7.1936
angles (deg): 90.00 90.00 90.00
Space group P4/mmm (No. 123)
Unique sites:
Ho  0.0000  0.0000  0.0000 [1 per cell]
Lu  0.0000  0.0000  0.5000 [1 per cell]
Au  0.5000  0.5000  0.2590 [2 per cell]


Computed, not measured: a relaxed HoLuNiAu crystal at the PBE level of DFT.

## Properties
Raw total energy   -82.66 eV per cell
M_tot   0.000 μB/atom

a b c (Å): 6.9149 6.9149 6.9149
angles (deg): 90.00 90.00 90.00
Space group F-43m (No. 216)
Unique sites:
Ho  0.0000  0.0000  0.0000 [4 per cell]
Lu  0.0000  0.0000  0.5000 [4 per cell]
Ni  0.2500  0.2500  0.7500 [4 per cell]
Au  0.2500  0.2500  0.2500 [4 per cell]


Computed, not measured: a relaxed HoLuPbAu crystal at the PBE level of DFT.

## Properties
Raw total energy   -73.48 eV per cell
M_tot   0.111 μB/atom

a b c (Å): 7.3621 7.3621 7.3621
angles (deg): 90.00 90.00 90.00
Space group F-43m (No. 216)
Unique sites:
Ho  0.0000  0.0000  0.0000 [4 per cell]
Lu  0.0000  0.0000  0.5000 [4 per cell]
Pb  0.2500  0.2500  0.7500 [4 per cell]
Au  0.2500  0.2500  0.2500 [4 per cell]


Computed, not measured: a relaxed HoLuTlAu crystal at the PBE level of DFT.

## Properties
Raw total energy   -67.93 eV per cell
M_tot   0.000 μB/atom

a b c (Å): 7.3233 7.3233 7.3233
angles (deg): 90.00 90.00 90.00
Space group F-43m (No. 216)
Unique sites:
Ho  0.0000  0.0000  0.0000 [4 per cell]
Lu  0.0000  0.0000  0.5000 [4 per cell]
Tl  0.2500  0.2500  0.2500 [4 per cell]
Au  0.2500  0.2500  0.7500 [4 per cell]


Computed, not measured: a relaxed Ho8Mg2Au crystal at the PBE level of DFT.

## Properties
Raw total energy   -88.18 eV per cell
M_tot   0.000 μB/atom

a b c (Å): 17.6758 5.3487 7.0393
angles (deg): 90.00 109.25 90.00
Space group C2/m (No. 12)
Unique sites:
Ho  0.0185  0.0000  0.2731 [4 per cell]
Ho  0.0955  0.5000  0.9381 [4 per cell]
Ho  0.1567  0.5000  0.4481 [4 per cell]
Ho  0.1962  0.0000  0.7750 [4 per cell]
Mg  0.1836  0.0000  0.2009 [4 per cell]
Au  0.0000  0.5000  0.5000 [2 per cell]


Computed, not measured: a relaxed HoMgAu crystal at the PBE level of DFT.

## Properties
Raw total energy   -10.98 eV per cell
M_tot   0.000 μB/atom

a b c (Å): 4.7311 4.7311 3.5118
angles (deg): 90.00 90.00 120.00
Space group P-6m2 (No. 187)
Unique sites:
Ho  0.0000  0.0000  0.0000 [1 per cell]
Mg  0.3333  0.6667  0.5000 [1 per cell]
Au  0.6667  0.3333  0.5000 [1 per cell]


Computed, not measured: a relaxed Ho5MgAu4 crystal at the PBE level of DFT.

## Properties
Raw total energy   -44.71 eV per cell
M_tot   0.000 μB/atom

a b c (Å): 3.6068 3.6068 18.2144
angles (deg): 90.00 90.00 90.00
Space group P4/mmm (No. 123)
Unique sites:
Ho  0.0000  0.0000  0.0000 [1 per cell]
Ho  0.0000  0.0000  0.1957 [2 per cell]
Ho  0.0000  0.0000  0.3894 [2 per cell]
Mg  0.5000  0.5000  0.5000 [1 per cell]
Au  0.5000  0.5000  0.0983 [2 per cell]
Au  0.5000  0.5000  0.2981 [2 per cell]


Computed, not measured: a relaxed HoMgAu4 crystal at the PBE level of DFT.

## Properties
Raw total energy   -88.54 eV per cell
Relative energy among the computed polymorphs   181 meV per atom
M_tot   0.000 μB/atom

a b c (Å): 7.8785 7.8785 7.8785
angles (deg): 90.00 90.00 90.00
Space group F-43m (No. 216)
Unique sites:
Ho  0.0000  0.0000  0.0000 [4 per cell]
Mg  0.2500  0.2500  0.7500 [4 per cell]
Au  0.1247  0.1247  0.3753 [16 per cell]


Computed, not measured: a relaxed HoMg3Au3 crystal at the PBE level of DFT.

## Properties
Raw total energy   -38.83 eV per cell
M_tot   0.000 μB/atom

a b c (Å): 7.2064 7.2064 7.2064
angles (deg): 90.00 90.00 90.00
Space group Pm-3n (No. 223)
Unique sites:
Ho  0.0000  0.0000  0.0000 [2 per cell]
Mg  0.0000  0.2500  0.5000 [6 per cell]
Au  0.0000  0.5000  0.2500 [6 per cell]


Computed, not measured: a relaxed Ho2MgAu crystal at the PBE level of DFT.

## Properties
Raw total energy   -15.91 eV per cell
Relative energy among the computed polymorphs   0 meV per atom
M_tot   0.000 μB/atom

a b c (Å): 3.6866 3.6866 7.2422
angles (deg): 90.00 90.00 90.00
Space group P4/mmm (No. 123)
Unique sites:
Ho  0.0000  0.0000  0.2349 [2 per cell]
Mg  0.5000  0.5000  0.5000 [1 per cell]
Au  0.5000  0.5000  0.0000 [1 per cell]


Computed, not measured: a relaxed HoMg5Au6 crystal at the PBE level of DFT.

## Properties
Raw total energy   -40.02 eV per cell
M_tot   0.000 μB/atom

a b c (Å): 4.7466 6.7794 7.4377
angles (deg): 90.00 107.46 90.00
Space group P2/m (No. 10)
Unique sites:
Ho  0.0000  0.0000  0.0000 [1 per cell]
Mg  0.0000  0.5000  0.0000 [1 per cell]
Mg  0.3280  0.0000  0.6592 [2 per cell]
Mg  0.3312  0.5000  0.6726 [2 per cell]
Au  0.1762  0.2591  0.3408 [4 per cell]
Au  0.5000  0.2617  0.0000 [2 per cell]


Computed, not measured: a relaxed HoMg2Au2 crystal at the PBE level of DFT.

## Properties
Raw total energy   -34.51 eV per cell
M_tot   0.000 μB/atom

a b c (Å): 4.7831 4.7548 10.0698
angles (deg): 90.00 94.22 90.00
Space group P2_1/m (No. 11)
Unique sites:
Ho  0.2273  0.2500  0.3189 [2 per cell]
Mg  0.2648  0.2500  0.6687 [2 per cell]
Mg  0.2655  0.2500  0.9839 [2 per cell]
Au  0.2476  0.7500  0.5120 [2 per cell]
Au  0.2493  0.7500  0.1510 [2 per cell]


Computed, not measured: a relaxed HoMg2Au3 crystal at the PBE level of DFT.

## Properties
Raw total energy   -21.76 eV per cell
Relative energy among the computed polymorphs   17 meV per atom
M_tot   0.000 μB/atom

a b c (Å): 3.3933 3.3933 10.2825
angles (deg): 90.00 90.00 90.00
Space group P4/mmm (No. 123)
Unique sites:
Ho  0.0000  0.0000  0.0000 [1 per cell]
Mg  0.0000  0.0000  0.3438 [2 per cell]
Au  0.5000  0.5000  0.1851 [2 per cell]
Au  0.5000  0.5000  0.5000 [1 per cell]


Computed, not measured: a relaxed HoMg2Au3 crystal at the PBE level of DFT.

## Properties
Raw total energy   -43.73 eV per cell
Relative energy among the computed polymorphs   0 meV per atom
M_tot   0.000 μB/atom

a b c (Å): 4.7662 4.7662 12.1874
angles (deg): 90.00 90.00 120.00
Space group P-3m1 (No. 164)
Unique sites:
Ho  0.3333  0.6667  0.1730 [2 per cell]
Mg  0.0000  0.0000  0.0000 [1 per cell]
Mg  0.0000  0.0000  0.5000 [1 per cell]
Mg  0.3333  0.6667  0.6575 [2 per cell]
Au  0.0000  0.0000  0.2713 [2 per cell]
Au  0.3333  0.6667  0.4201 [2 per cell]
Au  0.3333  0.6667  0.9269 [2 per cell]


Computed, not measured: a relaxed Ho5Mg4Au crystal at the PBE level of DFT.

## Properties
Raw total energy   -34.87 eV per cell
M_tot   0.000 μB/atom

a b c (Å): 3.7287 3.7287 18.6329
angles (deg): 90.00 90.00 90.00
Space group P4/mmm (No. 123)
Unique sites:
Ho  0.0000  0.0000  0.0000 [1 per cell]
Ho  0.0000  0.0000  0.2061 [2 per cell]
Ho  0.0000  0.0000  0.4093 [2 per cell]
Mg  0.5000  0.5000  0.1031 [2 per cell]
Mg  0.5000  0.5000  0.3051 [2 per cell]
Au  0.5000  0.5000  0.5000 [1 per cell]


Computed, not measured: a relaxed Ho4MgAu5 crystal at the PBE level of DFT.

## Properties
Raw total energy   -44.45 eV per cell
M_tot   0.000 μB/atom

a b c (Å): 3.5233 3.5233 17.8184
angles (deg): 90.00 90.00 90.00
Space group P4/mmm (No. 123)
Unique sites:
Ho  0.0000  0.0000  0.1029 [2 per cell]
Ho  0.0000  0.0000  0.3097 [2 per cell]
Mg  0.0000  0.0000  0.5000 [1 per cell]
Au  0.5000  0.5000  0.0000 [1 per cell]
Au  0.5000  0.5000  0.2052 [2 per cell]
Au  0.5000  0.5000  0.4082 [2 per cell]


Computed, not measured: a relaxed HoMgAu crystal at the PBE level of DFT.

## Properties
Raw total energy   -21.97 eV per cell
M_tot   0.000 μB/atom

a b c (Å): 3.4732 3.4732 11.4651
angles (deg): 90.00 90.00 90.00
Space group I4mm (No. 107)
Unique sites:
Ho  0.0000  0.0000  0.0000 [2 per cell]
Mg  0.0000  0.0000  0.7095 [2 per cell]
Au  0.0000  0.0000  0.3454 [2 per cell]


Computed, not measured: a relaxed HoMg2Au8 crystal at the PBE level of DFT.

## Properties
Raw total energy   -79.25 eV per cell
M_tot   0.000 μB/atom

a b c (Å): 15.0904 4.2057 6.7519
angles (deg): 90.00 106.65 90.00
Space group C2/m (No. 12)
Unique sites:
Ho  0.0000  0.0000  0.0000 [2 per cell]
Mg  0.2224  0.5000  0.6559 [4 per cell]
Au  0.0424  0.5000  0.7222 [4 per cell]
Au  0.1044  0.0000  0.4595 [4 per cell]
Au  0.1436  0.5000  0.2001 [4 per cell]
Au  0.1815  0.0000  0.9091 [4 per cell]


Computed, not measured: a relaxed HoMgAu crystal at the PBE level of DFT.

## Properties
Raw total energy   -43.98 eV per cell
M_tot   0.000 μB/atom

a b c (Å): 6.7568 6.7568 6.7568
angles (deg): 90.00 90.00 90.00
Space group F-43m (No. 216)
Unique sites:
Ho  0.0000  0.0000  0.0000 [4 per cell]
Mg  0.0000  0.0000  0.5000 [4 per cell]
Au  0.2500  0.2500  0.7500 [4 per cell]


Computed, not measured: a relaxed Ho2MgAu4 crystal at the PBE level of DFT.

## Properties
Raw total energy   -85.53 eV per cell
M_tot   0.000 μB/atom

a b c (Å): 4.7008 4.7008 25.3154
angles (deg): 90.00 90.00 120.00
Space group R-3m (No. 166, hexagonal axes)
Unique sites:
Ho  0.0000  0.0000  0.2472 [6 per cell]
Mg  0.0000  0.0000  0.0000 [3 per cell]
Au  0.0000  0.0000  0.1308 [6 per cell]
Au  0.0000  0.0000  0.3640 [6 per cell]


Computed, not measured: a relaxed Ho2MgAu3 crystal at the PBE level of DFT.

## Properties
Raw total energy   -50.87 eV per cell
Relative energy among the computed polymorphs   0 meV per atom
M_tot   0.000 μB/atom

a b c (Å): 4.9673 4.9673 12.1019
angles (deg): 90.00 90.00 120.00
Space group P-3m1 (No. 164)
Unique sites:
Ho  0.0000  0.0000  0.0000 [1 per cell]
Ho  0.0000  0.0000  0.5000 [1 per cell]
Ho  0.3333  0.6667  0.1795 [2 per cell]
Mg  0.3333  0.6667  0.6649 [2 per cell]
Au  0.0000  0.0000  0.2510 [2 per cell]
Au  0.3333  0.6667  0.4245 [2 per cell]
Au  0.3333  0.6667  0.9200 [2 per cell]